No. 1
Material: Li2TeP
Method: DFT, PBE-GGA
State: relaxed

a = 4.857 Å, b = 4.857 Å, c = 3.341 Å
α = 89.67°, β = 89.67°, γ = 107.56°
Atoms (fractional coordinates):
Li 0.500 0.500 0.000
Li 0.000 0.000 0.000
Te 0.000 0.500 0.500
P 0.500 0.000 0.500

Results
**E_tot**: -13.83 eV per formula unit
**Polymorph energy (0 for the lowest one)**: 56 meV per atom

---

No. 2
Material: Li3Te12P5
Method: DFT, PBE-GGA
State: relaxed

a = 14.512 Å, b = 14.512 Å, c = 14.512 Å
α = 109.47°, β = 109.47°, γ = 109.47°
Atoms (fractional coordinates):
P 0.250 0.375 0.625
P 0.625 0.750 0.875
P 0.375 0.125 0.750
P 0.625 0.875 0.250
P 0.375 0.250 0.125
P 0.000 0.000 0.000
P 0.000 0.000 0.500
P 0.750 0.625 0.375
P 0.500 0.500 0.000
P 0.000 0.500 0.000
P 0.500 0.000 0.500
P 0.250 0.875 0.125
P 0.875 0.250 0.625
P 0.500 0.000 0.000
P 0.500 0.500 0.500
P 0.000 0.500 0.500
P 0.125 0.750 0.375
P 0.750 0.125 0.875
P 0.875 0.625 0.750
P 0.125 0.375 0.250
Te 0.963 0.590 0.175
Te 0.590 0.627 0.415
Te 0.175 0.085 0.712
Te 0.373 0.410 0.085
Te 0.127 0.415 0.090
Te 0.212 0.675 0.085
Te 0.085 0.910 0.373
Te 0.410 0.037 0.325
Te 0.627 0.037 0.212
Te 0.127 0.712 0.537
Te 0.788 0.463 0.373
Te 0.175 0.090 0.963
Te 0.325 0.537 0.410
Te 0.325 0.788 0.415
Te 0.410 0.373 0.585
Te 0.037 0.627 0.712
Te 0.675 0.212 0.585
Te 0.090 0.915 0.127
Te 0.963 0.373 0.288
Te 0.463 0.675 0.090
Te 0.873 0.585 0.910
Te 0.537 0.325 0.910
Te 0.085 0.175 0.212
Te 0.288 0.873 0.963
Te 0.910 0.085 0.873
Te 0.037 0.410 0.825
Te 0.825 0.910 0.037
Te 0.415 0.288 0.325
Te 0.585 0.712 0.675
Te 0.090 0.175 0.463
Te 0.288 0.415 0.825
Te 0.585 0.873 0.410
Te 0.212 0.537 0.627
Te 0.712 0.585 0.175
Te 0.873 0.288 0.463
Te 0.415 0.127 0.590
Te 0.537 0.212 0.127
Te 0.825 0.915 0.288
Te 0.915 0.825 0.788
Te 0.915 0.090 0.627
Te 0.627 0.590 0.915
Te 0.910 0.825 0.537
Te 0.590 0.963 0.675
Te 0.463 0.788 0.873
Te 0.788 0.325 0.915
Te 0.373 0.963 0.788
Te 0.675 0.463 0.590
Te 0.712 0.127 0.037
Li 0.750 0.875 0.625
Li 0.625 0.375 0.750
Li 0.375 0.625 0.250
Li 0.625 0.250 0.375
Li 0.250 0.125 0.375
Li 0.875 0.125 0.250
Li 0.375 0.750 0.625
Li 0.250 0.625 0.875
Li 0.750 0.375 0.125
Li 0.125 0.250 0.875
Li 0.875 0.750 0.125
Li 0.125 0.875 0.750

Results
**E_tot**: -69.99 eV per formula unit

---

No. 3
Material: LiTe2P
Method: DFT, PBE-GGA
State: relaxed

a = 5.388 Å, b = 3.238 Å, c = 5.902 Å
α = 74.00°, β = 90.00°, γ = 90.00°
Atoms (fractional coordinates):
Li 0.000 0.612 0.410
P 0.500 0.902 0.819
Te 0.000 0.867 0.890
Te 0.500 0.119 0.382

Results
**E_tot**: -14.30 eV per formula unit

---

No. 4
Material: Li2TeP
Method: DFT, PBE-GGA
State: relaxed

a = 2.796 Å, b = 4.147 Å, c = 7.639 Å
α = 90.00°, β = 90.00°, γ = 90.00°
Atoms (fractional coordinates):
P 0.000 0.000 0.318
Li 0.500 0.500 0.400
Li 0.000 0.000 0.990
Te 0.500 0.500 0.792

Results
**E_tot**: -13.56 eV per formula unit
**Polymorph energy (0 for the lowest one)**: 124 meV per atom

---

Which of these has the lowest E_tot?
Li3Te12P5

---

Number 1 is which compound?
Li2TeP